SrMg2Cd6 | PBE-GGA | relaxed

## Properties
- V (Å³/atom) = 24.86
- density of states at the Fermi level (states/eV/cell) = 3.73
- energy relative to the lowest polymorph listed for this composition (eV/f.u.) = 0.31
- total magnetization (μB per formula unit) = 0.00

Unit cell a=8.780 b=8.780 c=3.351 alpha=90.00 beta=90.00 gamma=120.00
Atoms (fractional coordinates):
Sr 0.000 0.000 0.000
Mg 0.333 0.667 0.000
Mg 0.667 0.333 0.000
Cd 0.000 0.339 0.500
Cd 0.000 0.661 0.500
Cd 0.339 0.000 0.500
Cd 0.339 0.339 0.500
Cd 0.661 0.000 0.500
Cd 0.661 0.661 0.500

Ni2SbRu | PBE-GGA | relaxed

## Properties
- V (Å³/atom) = 13.95
- density of states at the Fermi level (states/eV/cell) = 5.82
- ΔE_f (raw) (eV/atom) = 0.098
- total magnetization (μB per formula unit) = 0.00

Unit cell a=4.596 b=4.596 c=4.596 alpha=129.86 beta=129.86 gamma=73.63
Atoms (fractional coordinates):
Ni 0.250 0.750 0.500
Ni 0.750 0.250 0.500
Sb 0.000 0.000 0.000
Ru 0.500 0.500 0.000

FeB3W | PBE-GGA | relaxed

## Properties
- V (Å³/atom) = 13.47
- density of states at the Fermi level (states/eV/cell) = 5.94
- energy relative to the lowest polymorph listed for this composition (eV/f.u.) = 10.35
- total magnetization (μB per formula unit) = 0.00

Unit cell a=4.069 b=4.069 c=4.069 alpha=90.00 beta=90.00 gamma=90.00
Atoms (fractional coordinates):
Fe 0.000 0.000 0.000
B 0.000 0.500 0.500
B 0.500 0.000 0.500
B 0.500 0.500 0.000
W 0.500 0.500 0.500

Li2IrRh | PBE-GGA | relaxed

## Properties
- V (Å³/atom) = 12.33
- density of states at the Fermi level (states/eV/cell) = 4.40
- energy relative to the lowest polymorph listed for this composition (eV/f.u.) = 1.28
- total magnetization (μB per formula unit) = 0.00

Unit cell a=4.050 b=4.050 c=3.007 alpha=90.00 beta=90.00 gamma=90.00
Atoms (fractional coordinates):
Li 0.000 0.500 0.000
Li 0.500 0.000 0.000
Ir 0.000 0.000 0.500
Rh 0.500 0.500 0.500

AcPrDy2In4 | PBE-GGA | relaxed

## Properties
- V (Å³/atom) = 29.43
- density of states at the Fermi level (states/eV/cell) = 4.26
- VASP energy (eV/atom) = -4.07
- total magnetization (μB per formula unit) = 0.00

Unit cell a=9.544 b=9.544 c=9.544 alpha=33.47 beta=33.47 gamma=33.47
Atoms (fractional coordinates):
Ac 0.000 0.000 0.000
Pr 0.500 0.500 0.500
Dy 0.250 0.250 0.250
Dy 0.750 0.750 0.750
In 0.127 0.127 0.127
In 0.377 0.377 0.377
In 0.623 0.623 0.623
In 0.873 0.873 0.873

Ca2GaPN | PBE-GGA | relaxed

## Properties
- V (Å³/atom) = 19.50
- density of states at the Fermi level (states/eV/cell) = 3.59
- ΔE_f (raw) (eV/atom) = -0.802
- total magnetization (μB per formula unit) = 0.00

Unit cell a=6.545 b=3.716 c=8.361 alpha=90.00 beta=106.53 gamma=90.00
Atoms (fractional coordinates):
Ca 0.185 0.250 0.459
Ca 0.195 0.250 0.874
Ca 0.805 0.750 0.126
Ca 0.815 0.750 0.541
Ga 0.486 0.750 0.710
Ga 0.514 0.250 0.290
P 0.289 0.750 0.170
P 0.711 0.250 0.830
N 0.183 0.750 0.670
N 0.817 0.250 0.330

LaTa2Cl | PBE-GGA | relaxed

## Properties
- V (Å³/atom) = 26.82
- density of states at the Fermi level (states/eV/cell) = 1.93
- energy relative to the lowest polymorph listed for this composition (eV/f.u.) = 0.33
- ΔE_f (raw) (eV/atom) = -0.116
- total magnetization (μB per formula unit) = 0.00

Unit cell a=3.490 b=3.490 c=8.806 alpha=90.00 beta=90.00 gamma=90.00
Atoms (fractional coordinates):
La 0.000 0.000 0.000
Ta 0.000 0.000 0.387
Ta 0.500 0.500 0.260
Cl 0.500 0.500 0.794

PmNd2Ag9 | PBE-GGA | relaxed

## Properties
- V (Å³/atom) = 22.04
- density of states at the Fermi level (states/eV/cell) = 8.85
- VASP energy (eV/atom) = -3.48
- total magnetization (μB per formula unit) = 0.00

Unit cell a=9.910 b=9.910 c=9.910 alpha=33.53 beta=33.53 gamma=33.53
Atoms (fractional coordinates):
Pm 0.000 0.000 0.000
Nd 0.143 0.143 0.143
Nd 0.857 0.857 0.857
Ag 0.082 0.585 0.585
Ag 0.333 0.333 0.333
Ag 0.415 0.415 0.918
Ag 0.415 0.918 0.415
Ag 0.500 0.500 0.500
Ag 0.585 0.082 0.585
Ag 0.585 0.585 0.082
Ag 0.667 0.667 0.667
Ag 0.918 0.415 0.415